12
Lattice="-7.043 -3.704 8.976 3.361 -0.133 2.583 -1.110 6.412 1.775" Properties=species:S:1:pos:R:3 comment="HgSe (PBE, optimized geometry)" space_group="No. 31" dos_ef_per_ev_atom=0.06 e_form_raw_ev_per_atom=-0.123 magnetic_moment_mub_per_fu=0.0 pbc="T T T"
Hg -5.247 -1.636 8.425
Hg -3.014 2.053 9.313
Hg -0.677 0.768 2.601
Hg -0.541 3.354 6.160
Hg 1.176 4.012 2.578
Hg -2.196 -1.031 5.867
Se -5.603 2.106 9.614
Se -2.841 -0.632 8.416
Se -1.099 4.474 3.874
Se -0.302 0.703 5.179
Se 2.639 1.778 2.805
Se -4.011 3.234 6.203